# Zr2TeAu

Zr2TeAu at its PBEsol-relaxed geometry (meta-GGA SCAN, the Alexandria database).

Summary:
Formation energy (no corrections) = -0.6621 eV per atom
Relative energy among the computed polymorphs = 0 meV per atom

Cell: 3.4061 4.9352 4.9352 Å, 99.75 90.00 90.00°
Last column: nearest neighbours and their distance in Å.
Positions (direct):
Au1 0.5000 0.5000 0.5000  8 Zr 3.00, 2 Te 3.18
Te1 0.5000 0.0000 0.0000  8 Zr 3.00, 2 Au 3.18
Zr1 0.0000 0.0000 0.5000  4 Au 3.00, 4 Te 3.00, 2 Zr 3.18
Zr2 0.0000 0.5000 0.0000  4 Te 3.00, 4 Au 3.00, 2 Zr 3.18

---

# B2Sb2Ir

B2Sb2Ir at its PBEsol-relaxed geometry (meta-GGA SCAN, the Alexandria database).

Summary:
Formation energy (no corrections) = 1.4867 eV per atom
Relative energy among the computed polymorphs = 477 meV per atom

Cell: 3.1792 7.0144 7.0144 Å, 90.00 90.00 90.00°
Last column: nearest neighbours and their distance in Å.
Positions (direct):
Sb1 0.0000 0.3473 0.8473  2 B 2.41, 2 Ir 2.66
Sb2 0.0000 0.8473 0.6527  2 B 2.41, 2 Ir 2.66
Sb3 0.0000 0.6527 0.1527  2 B 2.41, 2 Ir 2.66
Sb4 0.0000 0.1527 0.3473  2 B 2.41, 2 Ir 2.66
B1 0.5000 0.1641 0.6641  2 Sb 2.41
B2 0.5000 0.6641 0.8359  2 Sb 2.41
B3 0.5000 0.8359 0.3359  2 Sb 2.41
B4 0.5000 0.3359 0.1641  2 Sb 2.41
Ir1 0.0000 0.0000 0.0000  4 Sb 2.66
Ir2 0.0000 0.5000 0.5000  4 Sb 2.66

---

# NaTiI2N

NaTiI2N at its PBEsol-relaxed geometry (meta-GGA SCAN, the Alexandria database).

Summary:
Formation energy (no corrections) = 0.6502 eV per atom

Cell: 4.2435 5.7028 5.7028 Å, 90.00 90.00 90.00°
Last column: nearest neighbours and their distance in Å.
Positions (direct):
I1 0.0000 0.0000 0.5000  2 Na 2.85
I2 0.0000 0.5000 0.0000  2 Na 2.85
Na1 0.0000 0.0000 0.0000  2 N 2.12
N1 0.5000 0.0000 0.0000  2 Na 2.12
Ti1 0.5000 0.5000 0.5000  8 I 3.55

---

# CoPRu

CoPRu at its PBEsol-relaxed geometry (meta-GGA SCAN, the Alexandria database).

Summary:
E_form = -0.13 eV/atom

Cell: 2.7814 3.8024 3.8024 Å, 120.00 90.00 90.00°
Last column: nearest neighbours and their distance in Å.
Positions (direct):
Co1 0.8785 0.0000 0.0000  3 P 2.23
P1 0.7292 0.3333 0.6667  3 Co 2.23, 3 Ru 2.39
Ru1 0.3923 0.6667 0.3333  3 P 2.39, 6 Co 2.58-2.62

---

# Ta2ZnCo

Ta2ZnCo at its PBEsol-relaxed geometry (meta-GGA SCAN, the Alexandria database).

Summary:
E_form = 0.22 eV/atom

Cell: 2.8119 2.8119 8.9661 Å, 80.98 80.98 60.00°
Last column: nearest neighbours and their distance in Å.
Positions (direct):
Co1 0.0000 0.0000 0.0000  6 Ta 2.62, 6 Co 2.81
Ta1 0.2554 0.2554 0.2337  3 Co 2.62, 6 Ta 2.81, 3 Zn 2.85
Ta2 0.7446 0.7446 0.7663  3 Co 2.62, 6 Ta 2.81, 3 Zn 2.85
Zn1 0.5000 0.5000 0.5000  6 Zn 2.81, 6 Ta 2.85

---

# KBa2Sr

KBa2Sr at its PBEsol-relaxed geometry (meta-GGA SCAN, the Alexandria database).

Summary:
Relative energy among the computed polymorphs = 37 meV per atom
E_form = 0.09 eV/atom

Cell: 4.6597 7.1185 8.2779 Å, 115.47 106.35 90.00°
Last column: nearest neighbours and their distance in Å.
Positions (direct):
Sr1 0.0000 0.5000 0.0000  4 K 4.25, 4 Ba 4.28, 2 Sr 4.66
K1 0.5000 0.0000 0.0000  4 Ba 4.22, 4 Sr 4.25, 2 K 4.66
Ba1 0.7526 0.7526 0.5052  2 K 4.22, 6 Ba 4.25-4.66, 2 Sr 4.28
Ba2 0.2474 0.2474 0.4948  2 K 4.22, 6 Ba 4.25-4.66, 2 Sr 4.28

---

# CaLa2Mg

CaLa2Mg at its PBEsol-relaxed geometry (meta-GGA SCAN, the Alexandria database).

Summary:
E_form = 0.04 eV/atom

Cell: 3.8357 5.6880 5.9653 Å, 90.00 90.00 90.00°
Last column: nearest neighbours and their distance in Å.
Positions (direct):
Ca1 0.0000 0.5000 0.5000  4 Mg 3.43, 4 La 3.55, 2 Ca 3.84
La1 0.0000 0.0000 0.0000  6 La 3.43-3.84, 4 Mg 3.55
La2 0.5000 0.5000 0.0000  6 La 3.43-3.84, 4 Ca 3.55
Mg1 0.5000 0.0000 0.5000  4 Ca 3.43, 4 La 3.55, 2 Mg 3.84

---

# YAu3

YAu3 at its PBEsol-relaxed geometry (meta-GGA SCAN, the Alexandria database).

Summary:
E_form = -0.86 eV/atom

Cell: 5.3629 5.3629 5.3629 Å, 90.00 90.00 90.00°
Last column: nearest neighbours and their distance in Å.
Positions (direct):
Au1 0.0000 0.2500 0.5000  2 Au 2.68, 4 Y 3.00
Au2 0.0000 0.7500 0.5000  2 Au 2.68, 4 Y 3.00
Au3 0.2500 0.5000 0.0000  2 Au 2.68, 4 Y 3.00
Au4 0.5000 0.0000 0.2500  2 Au 2.68, 4 Y 3.00
Au5 0.5000 0.0000 0.7500  2 Au 2.68, 4 Y 3.00
Au6 0.7500 0.5000 0.0000  2 Au 2.68, 4 Y 3.00
Y1 0.0000 0.0000 0.0000  12 Au 3.00
Y2 0.5000 0.5000 0.5000  12 Au 3.00

---

# TcRuRh2

TcRuRh2 at its PBEsol-relaxed geometry (meta-GGA SCAN, the Alexandria database).

Summary:
Relative energy among the computed polymorphs = 5 meV per atom
E_form = -0.02 eV/atom

Cell: 2.6582 3.7958 5.3497 Å, 90.00 90.00 90.00°
Last column: nearest neighbours and their distance in Å.
Positions (direct):
Ru1 0.0000 0.0000 0.5016  6 Rh 2.65-2.70, 2 Ru 2.66, 4 Tc 2.67
Rh1 0.0000 0.0000 0.9967  2 Ru 2.65-2.70, 6 Rh 2.66-2.69, 4 Tc 2.67
Rh2 0.5000 0.5000 0.2538  2 Tc 2.64-2.71, 6 Rh 2.66-2.69, 4 Ru 2.67
Tc1 0.5000 0.5000 0.7479  6 Rh 2.64-2.71, 2 Tc 2.66, 4 Ru 2.67

---

# PmTlRh2

PmTlRh2 at its PBEsol-relaxed geometry (meta-GGA SCAN, the Alexandria database).

Summary:
E_form = -0.51 eV/atom

Cell: 4.7167 4.7167 4.7167 Å, 60.00 60.00 60.00°
Last column: nearest neighbours and their distance in Å.
Positions (direct):
Tl1 0.0000 0.0000 0.0000  8 Rh 2.89
Rh1 0.2500 0.2500 0.2500  4 Pm 2.89, 4 Tl 2.89
Rh2 0.7500 0.7500 0.7500  4 Pm 2.89, 4 Tl 2.89
Pm1 0.5000 0.5000 0.5000  8 Rh 2.89

---

# CaTa2Tl

CaTa2Tl at its PBEsol-relaxed geometry (meta-GGA SCAN, the Alexandria database).

Summary:
Relative energy among the computed polymorphs = 35 meV per atom
E_form = 0.57 eV/atom

Cell: 3.0113 5.2264 5.5333 Å, 107.92 90.00 90.00°
Last column: nearest neighbours and their distance in Å.
Positions (direct):
Tl1 0.5000 0.0000 0.5000  2 Tl 3.01, 4 Ca 3.02, 6 Ta 3.15-3.17
Ca1 0.0000 0.5000 0.5000  2 Ca 3.01, 4 Tl 3.02, 6 Ta 3.15-3.17
Ta1 0.0000 0.0000 0.0000  6 Ta 3.01-3.02, 4 Tl 3.15, 2 Ca 3.17
Ta2 0.5000 0.5000 0.0000  6 Ta 3.01-3.02, 4 Ca 3.15, 2 Tl 3.17

---

# AgBiTe3

AgBiTe3 at its PBEsol-relaxed geometry (meta-GGA SCAN, the Alexandria database).

Summary:
Formation energy (no corrections) = 0.4619 eV per atom
Relative energy among the computed polymorphs = 0 meV per atom

Cell: 5.3113 5.3113 5.3113 Å, 90.00 90.00 90.00°
Last column: nearest neighbours and their distance in Å.
Positions (direct):
Te1 0.0000 0.5000 0.0000  2 Ag 2.66
Te2 0.0000 0.0000 0.5000  2 Ag 2.66
Te3 0.5000 0.0000 0.0000  2 Ag 2.66
Bi1 0.5000 0.5000 0.5000  12 Te 3.76
Ag1 0.0000 0.0000 0.0000  6 Te 2.66

---

# InW3F

InW3F at its PBEsol-relaxed geometry (meta-GGA SCAN, the Alexandria database).

Summary:
Formation energy (no corrections) = 3.4553 eV per atom

Cell: 4.8874 4.8874 4.8874 Å, 90.00 90.00 90.00°
Last column: nearest neighbours and their distance in Å.
Positions (direct):
F1 0.5000 0.5000 0.5000  12 W 3.46
W1 0.0000 0.5000 0.0000  2 In 2.44
W2 0.0000 0.0000 0.5000  2 In 2.44
W3 0.5000 0.0000 0.0000  2 In 2.44
In1 0.0000 0.0000 0.0000  6 W 2.44

---

# Li6CaCeO6

Li6CaCeO6 at its PBEsol-relaxed geometry (meta-GGA SCAN, the Alexandria database).

Summary:
Formation energy (no corrections) = -2.5285 eV per atom

Cell: 5.7855 5.7855 10.6083 Å, 90.00 90.00 120.00°
Last column: nearest neighbours and their distance in Å.
Positions (direct):
Li1 0.3098 0.9406 0.4353  4 O 1.95-2.09
Li2 0.6309 0.6902 0.4353  4 O 1.95-2.09
Li3 0.6309 0.9406 0.0647  4 O 1.95-2.09
Li4 0.6902 0.0594 0.5647  4 O 1.95-2.09
Li5 0.3098 0.3691 0.0647  4 O 1.95-2.09
Li6 0.3691 0.3098 0.5647  4 O 1.95-2.09
Li7 0.0594 0.6902 0.0647  4 O 1.95-2.09
Li8 0.9406 0.3098 0.9353  4 O 1.95-2.09
Li9 0.6902 0.6309 0.9353  4 O 1.95-2.09
Li10 0.3691 0.0594 0.9353  4 O 1.95-2.09
Li11 0.0594 0.3691 0.4353  4 O 1.95-2.09
Li12 0.9406 0.6309 0.5647  4 O 1.95-2.09
Ca1 0.0000 0.0000 0.7500  6 O 2.35
Ca2 0.0000 0.0000 0.2500  6 O 2.35
Ce1 0.3333 0.6667 0.7500  6 O 2.25
Ce2 0.6667 0.3333 0.2500  6 O 2.25
O1 0.3035 0.9571 0.6187  4 Li 1.95-2.09
O2 0.6536 0.6965 0.6187  4 Li 1.95-2.09
O3 0.9571 0.3035 0.1187  4 Li 1.95-2.09
O4 0.3035 0.3464 0.8813  4 Li 1.95-2.09
O5 0.6965 0.0429 0.3813  4 Li 1.95-2.09
O6 0.0429 0.6965 0.8813  4 Li 1.95-2.09
O7 0.6536 0.9571 0.8813  4 Li 1.95-2.09
O8 0.3464 0.3035 0.3813  4 Li 1.95-2.09
O9 0.3464 0.0429 0.1187  4 Li 1.95-2.09
O10 0.6965 0.6536 0.1187  4 Li 1.95-2.09
O11 0.9571 0.6536 0.3813  4 Li 1.95-2.09
O12 0.0429 0.3464 0.6187  4 Li 1.95-2.09

---

# SnBiAs2Br

SnBiAs2Br at its PBEsol-relaxed geometry (meta-GGA SCAN, the Alexandria database).

Summary:
Formation energy (no corrections) = 0.6023 eV per atom

Cell: 5.1965 5.2368 5.2368 Å, 90.00 90.00 90.00°
Last column: nearest neighbours and their distance in Å.
Positions (direct):
As1 0.0000 0.0000 0.5000  2 Sn 2.62
As2 0.0000 0.5000 0.0000  2 Sn 2.62
Bi1 0.5000 0.5000 0.5000  8 As 3.69, 4 Br 3.70
Br1 0.5000 0.0000 0.0000  2 Sn 2.60
Sn1 0.0000 0.0000 0.0000  2 Br 2.60, 4 As 2.62

---

# Ba2BeIn

Ba2BeIn at its PBEsol-relaxed geometry (meta-GGA SCAN, the Alexandria database).

Summary:
E_form = -0.05 eV/atom

Cell: 3.9510 5.7529 6.4739 Å, 116.41 107.77 90.00°
Last column: nearest neighbours and their distance in Å.
Positions (direct):
Be1 0.5452 0.5467 0.0905  2 In 2.51
Ba1 0.9741 0.9735 0.9482  2 Ba 3.48-3.49, 4 Be 3.57-3.58, 4 In 3.70
Ba2 0.7934 0.2931 0.5869  2 Be 3.38, 2 Ba 3.48-3.49, 4 In 3.68
In1 0.1872 0.6867 0.3745  2 Be 2.51

---

# Cs2CdFeC6N6

Cs2CdFeC6N6 at its PBEsol-relaxed geometry (meta-GGA SCAN, the Alexandria database).

Summary:
Formation energy (no corrections) = -0.2020 eV per atom

Cell: 7.5346 7.5346 7.5346 Å, 60.00 60.00 60.00°
Last column: nearest neighbours and their distance in Å.
Positions (direct):
Cs1 0.7500 0.7500 0.7500  12 N 3.78, 12 C 3.85
Cs2 0.2500 0.2500 0.2500  12 N 3.78, 12 C 3.85
Cd1 0.5000 0.5000 0.5000  6 N 2.30
Fe1 0.0000 0.0000 0.0000  6 C 1.85
C1 0.8265 0.1735 0.1735  1 N 1.18
C2 0.1735 0.1735 0.8265  1 N 1.18
C3 0.8265 0.1735 0.8265  1 N 1.18
C4 0.8265 0.8265 0.1735  1 N 1.18
C5 0.1735 0.8265 0.1735  1 N 1.18
C6 0.1735 0.8265 0.8265  1 N 1.18
N1 0.7158 0.2842 0.2842  1 C 1.18
N2 0.2842 0.2842 0.7158  1 C 1.18
N3 0.7158 0.2842 0.7158  1 C 1.18
N4 0.7158 0.7158 0.2842  1 C 1.18
N5 0.2842 0.7158 0.2842  1 C 1.18
N6 0.2842 0.7158 0.7158  1 C 1.18

---

# ZnGeSb2Te

ZnGeSb2Te at its PBEsol-relaxed geometry (meta-GGA SCAN, the Alexandria database).

Summary:
Formation energy (no corrections) = 0.7671 eV per atom

Cell: 5.3631 5.2748 5.2748 Å, 90.00 90.00 90.00°
Last column: nearest neighbours and their distance in Å.
Positions (direct):
Sb1 0.0000 0.0000 0.5000  2 Ge 2.64
Sb2 0.0000 0.5000 0.0000  2 Ge 2.64
Ge1 0.0000 0.0000 0.0000  4 Sb 2.64, 2 Te 2.68
Te1 0.5000 0.0000 0.0000  2 Ge 2.68
Zn1 0.5000 0.5000 0.5000  4 Te 3.73, 8 Sb 3.76

---

# SbPdI2Cl

SbPdI2Cl at its PBEsol-relaxed geometry (meta-GGA SCAN, the Alexandria database).

Summary:
Formation energy (no corrections) = 1.0210 eV per atom

Cell: 5.1530 5.5198 5.5198 Å, 90.00 90.00 90.00°
Last column: nearest neighbours and their distance in Å.
Positions (direct):
I1 0.0000 0.0000 0.5000  2 Cl 2.76
I2 0.0000 0.5000 0.0000  2 Cl 2.76
Sb1 0.5000 0.0000 0.0000  2 Cl 2.58
Pd1 0.5000 0.5000 0.5000  8 I 3.78, 4 Sb 3.90
Cl1 0.0000 0.0000 0.0000  2 Sb 2.58, 4 I 2.76

---

# VP4O12

VP4O12 at its PBEsol-relaxed geometry (meta-GGA SCAN, the Alexandria database).

Summary:
Formation energy (no corrections) = -2.2868 eV per atom
Relative energy among the computed polymorphs = 64 meV per atom

Cell: 8.8948 9.1954 10.2837 Å, 90.00 90.00 90.20°
Last column: nearest neighbours and their distance in Å.
Positions (direct):
V1 0.7468 0.9869 0.2198  6 O 1.89-1.94
V2 0.2532 0.5131 0.7198  6 O 1.89-1.94
V3 0.7468 0.4869 0.2802  6 O 1.89-1.94
V4 0.2532 0.0131 0.7802  6 O 1.89-1.94
P1 0.2348 0.7881 0.3718  2 O 1.46-1.47
P2 0.0623 0.7992 0.6086  4 O 1.52-1.57
P3 0.4494 0.7674 0.6009  4 O 1.51-1.58
P4 0.7529 0.7599 0.4840  4 O 1.50-1.58
P5 0.2471 0.7401 0.9840  4 O 1.50-1.58
P6 0.5506 0.7326 0.1009  4 O 1.51-1.58
P7 0.9377 0.7008 0.1086  4 O 1.52-1.57
P8 0.7652 0.7119 0.8718  2 O 1.46-1.47
P9 0.2348 0.2881 0.1282  2 O 1.46-1.47
P10 0.0623 0.2992 0.8914  4 O 1.52-1.57
P11 0.4494 0.2674 0.8991  4 O 1.51-1.58
P12 0.7529 0.2599 0.0160  4 O 1.50-1.58
P13 0.2471 0.2401 0.5160  4 O 1.50-1.58
P14 0.5506 0.2326 0.3991  4 O 1.51-1.58
P15 0.9377 0.2008 0.3914  4 O 1.52-1.57
P16 0.7652 0.2119 0.6282  2 O 1.46-1.47
O1 0.3884 0.8848 0.6891  1 P 1.51
O2 0.0843 0.9057 0.7202  1 P 1.52
O3 0.2665 0.8969 0.2713  1 P 1.46
O4 0.2589 0.8944 0.9349  1 P 1.51
O5 0.1321 0.8738 0.4868  2 P 1.56-1.69
O6 0.7553 0.8725 0.3781  1 P 1.50
O7 0.5774 0.8837 0.1580  1 P 1.53
O8 0.8760 0.8507 0.1380  1 P 1.52
O9 0.8289 0.8589 0.8611  1 P 1.47
O10 0.3966 0.7789 0.4584  2 P 1.54-1.69
O11 0.6242 0.7952 0.5856  2 P 1.58
O12 0.8901 0.7817 0.5784  2 P 1.57
O13 0.1099 0.7183 0.0784  2 P 1.57
O14 0.3758 0.7048 0.0856  2 P 1.58
O15 0.6034 0.7211 0.9584  2 P 1.54-1.69
O16 0.1711 0.6411 0.3611  1 P 1.47
O17 0.1240 0.6493 0.6380  1 P 1.52
O18 0.4226 0.6163 0.6580  1 P 1.53
O19 0.2447 0.6275 0.8781  1 P 1.50
O20 0.8679 0.6262 0.9868  2 P 1.56-1.69
O21 0.7411 0.6056 0.4349  1 P 1.51
O22 0.7335 0.6031 0.7713  1 P 1.46
O23 0.9157 0.5943 0.2202  1 P 1.52
O24 0.6116 0.6152 0.1891  1 P 1.51
O25 0.3884 0.3848 0.8109  1 P 1.51
O26 0.0843 0.4057 0.7798  1 P 1.52
O27 0.2665 0.3969 0.2287  1 P 1.46
O28 0.2589 0.3944 0.5651  1 P 1.51
O29 0.1321 0.3738 0.0132  2 P 1.56-1.69
O30 0.7553 0.3725 0.1219  1 P 1.50
O31 0.5774 0.3837 0.3420  1 P 1.53
O32 0.8760 0.3507 0.3620  1 P 1.52
O33 0.8289 0.3589 0.6389  1 P 1.47
O34 0.3966 0.2789 0.0416  2 P 1.54-1.69
O35 0.6242 0.2952 0.9144  2 P 1.58
O36 0.8901 0.2817 0.9216  2 P 1.57
O37 0.1099 0.2183 0.4216  2 P 1.57
O38 0.3758 0.2048 0.4144  2 P 1.58
O39 0.6034 0.2211 0.5416  2 P 1.54-1.69
O40 0.1711 0.1411 0.1389  1 P 1.47
O41 0.1240 0.1493 0.8620  1 P 1.52
O42 0.4226 0.1163 0.8420  1 P 1.53
O43 0.2447 0.1275 0.6219  1 P 1.50
O44 0.8679 0.1262 0.5132  2 P 1.56-1.69
O45 0.7411 0.1056 0.0651  1 P 1.51
O46 0.7335 0.1031 0.7287  1 P 1.46
O47 0.9157 0.0943 0.2798  1 P 1.52
O48 0.6116 0.1152 0.3109  1 P 1.51

---

Number 1: E -42.613 eV per atom. Number 2: E -30.609 eV per atom. Number 3: E -19.954 eV per atom. Number 4: E -20.969 eV per atom. Number 5: E -40.780 eV per atom. Number 6: E -27.335 eV per atom. Number 7: E -25.171 eV per atom. Number 8: E -59.688 eV per atom. Number 9: E -34.380 eV per atom. Number 10: E -46.479 eV per atom. Number 11: E -53.226 eV per atom. Number 12: E -43.878 eV per atom. Number 13: E -45.743 eV per atom. Number 14: E -10.097 eV per atom. Number 15: E -34.266 eV per atom. Number 16: E -29.261 eV per atom. Number 17: E -15.234 eV per atom. Number 18: E -28.108 eV per atom. Number 19: E -29.278 eV per atom. Number 20: E -10.161 eV per atom.